Record 1
A plane-wave DFT calculation with meta-GGA SCAN was carried out for ZrScSe2 at its PBEsol-relaxed geometry.

a b c (Å): 6.650 6.650 6.650
angles (deg): 33.27 33.27 33.27
Sites, in units of the cell vectors:
Zr (0.000, 0.000, 0.000)
Sc (0.500, 0.500, 0.500)
Se (0.248, 0.248, 0.248)
Se (0.752, 0.752, 0.752)

Output
* raw formation energy: -1.45 eV per atom
* E: -22.723 eV/atom
* SG: No. 166
* calculated density: 6.2 Mg/m³
* spin magnetization: 0.000 μB/atom
* E above lowest polymorph: 0.134 eV per atom

Record 2
A plane-wave DFT calculation with meta-GGA SCAN was carried out for Zn3ReF at its PBEsol-relaxed geometry.

a b c (Å): 4.878 4.878 4.878
angles (deg): 90.00 90.00 90.00
Sites, in units of the cell vectors:
Zn (0.000, 0.000, 0.500)
Zn (0.000, 0.500, 0.000)
Zn (0.500, 0.000, 0.000)
Re (0.000, 0.000, 0.000)
F (0.500, 0.500, 0.500)

Output
* raw formation energy: 0.79 eV per atom
* E: -22.246 eV/atom
* SG: No. 221
* calculated density: 5.7 Mg/m³
* spin magnetization: 0.595 μB/atom

Record 3
A plane-wave DFT calculation with meta-GGA SCAN was carried out for Be2CrOsPd at its PBEsol-relaxed geometry.

a b c (Å): 3.969 3.969 4.602
angles (deg): 90.00 90.00 90.00
Sites, in units of the cell vectors:
Be (0.000, 0.500, 0.000)
Be (0.500, 0.000, 0.000)
Cr (0.000, 0.000, 0.500)
Os (0.500, 0.500, 0.500)
Pd (0.000, 0.000, 0.000)

Output
* E: -25.255 eV/atom
* SG: No. 123
* calculated density: 8.4 Mg/m³
* spin magnetization: 0.463 μB/atom
* ΔH_f (0 K): 528 kJ/mol of formula units

Record 4
A plane-wave DFT calculation with meta-GGA SCAN was carried out for Mg2TaSe at its PBEsol-relaxed geometry.

a b c (Å): 4.715 4.715 4.715
angles (deg): 60.00 60.00 60.00
Sites, in units of the cell vectors:
Mg (0.000, 0.000, 0.000)
Mg (0.250, 0.250, 0.250)
Ta (0.500, 0.500, 0.500)
Se (0.750, 0.750, 0.750)

Output
* raw formation energy: 0.45 eV per atom
* E: -23.706 eV/atom
* SG: No. 216
* calculated density: 6.9 Mg/m³
* spin magnetization: 0.000 μB/atom

Record 5
A plane-wave DFT calculation with meta-GGA SCAN was carried out for NiSbRu at its PBEsol-relaxed geometry.

a b c (Å): 3.034 3.034 5.789
angles (deg): 90.00 90.00 120.00
Sites, in units of the cell vectors:
Ni (0.000, 0.000, 0.000)
Sb (0.667, 0.333, 0.326)
Ru (0.333, 0.667, 0.671)

Output
* raw formation energy: 0.43 eV per atom
* E: -28.991 eV/atom
* SG: No. 156
* calculated density: 10.1 Mg/m³
* spin magnetization: 0.000 μB/atom

Record 6
A plane-wave DFT calculation with meta-GGA SCAN was carried out for LiRu2Br at its PBEsol-relaxed geometry.

a b c (Å): 4.203 4.203 4.203
angles (deg): 60.00 60.00 60.00
Sites, in units of the cell vectors:
Li (0.000, 0.000, 0.000)
Ru (0.250, 0.250, 0.250)
Ru (0.750, 0.750, 0.750)
Br (0.500, 0.500, 0.500)

Output
* raw formation energy: 0.82 eV per atom
* E: -22.056 eV/atom
* SG: No. 225
* calculated density: 9.1 Mg/m³
* spin magnetization: 0.000 μB/atom
* E above lowest polymorph: 0.576 eV per atom

Record 7
A plane-wave DFT calculation with meta-GGA SCAN was carried out for YTlZn at its PBEsol-relaxed geometry.

a b c (Å): 4.627 4.627 4.627
angles (deg): 60.00 60.00 60.00
Sites, in units of the cell vectors:
Y (0.000, 0.000, 0.000)
Tl (0.500, 0.500, 0.500)
Zn (0.750, 0.750, 0.750)

Output
* E: -38.398 eV/atom
* SG: No. 216
* calculated density: 8.5 Mg/m³
* spin magnetization: 0.000 μB/atom
* ΔH_f (0 K): -143 kJ/mol of formula units

Record 8
A plane-wave DFT calculation with meta-GGA SCAN was carried out for Ba2LaAu at its PBEsol-relaxed geometry.

a b c (Å): 3.919 3.919 10.245
angles (deg): 90.00 90.00 90.00
Sites, in units of the cell vectors:
Ba (0.000, 0.000, 0.000)
Ba (0.500, 0.500, 0.351)
La (0.000, 0.000, 0.655)
Au (0.500, 0.500, 0.791)

Output
* E: -48.276 eV/atom
* SG: No. 99
* calculated density: 6.4 Mg/m³
* spin magnetization: 0.008 μB/atom
* ΔH_f (0 K): -168 kJ/mol of formula units
* E above lowest polymorph: 0.000 eV per atom

> Number 3 is which compound?

Be2CrOsPd

> Among the records above, which one has the highest spin magnetization?

Zn3ReF

> Look up the calculated density of the eighth one.

6.4 Mg/m³